a | {
  "formula": "Nd2YSn",
  "functional": "PBE-GGA",
  "state": "relaxed",
  "total_magnetization_mub_per_cell": 1.89,
  "volume_a3_per_cell": 389.7,
  "lattice_angstrom": [[3.5222, 0.0000, 0.0000], [-1.7611, 3.0503, 0.0000], [0.0000, 0.0000, 36.2768]],
  "species": ["Nd", "Nd", "Nd", "Nd", "Nd", "Nd", "Y", "Y", "Y", "Sn", "Sn", "Sn"],
  "fractional_positions": [[0.0000, 0.0000, 0.0936], [0.0000, 0.0000, 0.9064], [0.3333, 0.6667, 0.5730], [0.3333, 0.6667, 0.7603], [0.6667, 0.3333, 0.2397], [0.6667, 0.3333, 0.4270], [0.0000, 0.0000, 0.0000], [0.3333, 0.6667, 0.6667], [0.6667, 0.3333, 0.3333], [0.0000, 0.0000, 0.5000], [0.3333, 0.6667, 0.1667], [0.6667, 0.3333, 0.8333]]
}

b | {
  "formula": "Nd2YSn",
  "functional": "PBE-GGA",
  "state": "relaxed",
  "total_magnetization_mub_per_cell": 3.12,
  "volume_a3_per_cell": 520.9,
  "lattice_angstrom": [[4.3093, 0.0000, 0.0000], [0.0000, 12.0402, 0.0000], [0.0000, 0.0000, 10.0404]],
  "species": ["Nd", "Nd", "Nd", "Nd", "Nd", "Nd", "Nd", "Nd", "Y", "Y", "Y", "Y", "Sn", "Sn", "Sn", "Sn"],
  "fractional_positions": [[0.0000, 0.1376, 0.0495], [0.0000, 0.1376, 0.4505], [0.0000, 0.8624, 0.5495], [0.0000, 0.8624, 0.9505], [0.5000, 0.3624, 0.5495], [0.5000, 0.3624, 0.9505], [0.5000, 0.6376, 0.0495], [0.5000, 0.6376, 0.4505], [0.0000, 0.4394, 0.2500], [0.0000, 0.5606, 0.7500], [0.5000, 0.0606, 0.7500], [0.5000, 0.9394, 0.2500], [0.0000, 0.2541, 0.7500], [0.0000, 0.7459, 0.2500], [0.5000, 0.2459, 0.2500], [0.5000, 0.7541, 0.7500]]
}

c | {
  "formula": "Nd2YSn",
  "functional": "PBE-GGA",
  "state": "relaxed",
  "total_magnetization_mub_per_cell": 0.00,
  "volume_a3_per_cell": 118.7,
  "lattice_angstrom": [[4.8664, 0.0000, 0.0000], [0.0000, 4.8664, 0.0000], [0.0000, 0.0000, 5.0116]],
  "species": ["Nd", "Nd", "Y", "Sn"],
  "fractional_positions": [[0.0000, 0.5000, 0.0000], [0.5000, 0.0000, 0.0000], [0.0000, 0.0000, 0.5000], [0.5000, 0.5000, 0.5000]]
}

Result of the stability comparison: c is the most stable of them.

a | {
  "formula": "SrNd",
  "functional": "PBE-GGA",
  "state": "relaxed",
  "total_magnetization_mub_per_cell": 0.00,
  "volume_a3_per_cell": 172.1,
  "lattice_angstrom": [[3.9297, 0.0000, 0.0000], [-1.9648, 3.4032, 0.0000], [0.0000, 0.0000, 12.8692]],
  "species": ["Sr", "Sr", "Nd", "Nd"],
  "fractional_positions": [[0.3333, 0.6667, 0.1392], [0.6667, 0.3333, 0.8608], [0.3333, 0.6667, 0.6077], [0.6667, 0.3333, 0.3923]]
}

b | {
  "formula": "SrNd",
  "functional": "PBE-GGA",
  "state": "relaxed",
  "total_magnetization_mub_per_cell": 0.00,
  "volume_a3_per_cell": 172.9,
  "lattice_angstrom": [[3.9134, 0.0000, 0.0000], [0.0000, 3.9134, 0.0000], [0.0000, 0.0000, 11.2873]],
  "species": ["Sr", "Sr", "Nd", "Nd"],
  "fractional_positions": [[0.2500, 0.2500, 0.1457], [0.7500, 0.7500, 0.8543], [0.2500, 0.2500, 0.6013], [0.7500, 0.7500, 0.3987]]
}

Result of the stability comparison: b is the most stable of them.

a | {
  "formula": "SrTbNd",
  "functional": "PBE-GGA",
  "state": "relaxed",
  "total_magnetization_mub_per_cell": 0.00,
  "volume_a3_per_cell": 242.4,
  "lattice_angstrom": [[4.1466, 0.0000, 0.0000], [0.0000, 4.1466, 0.0000], [0.0000, 0.0000, 14.0970]],
  "species": ["Sr", "Sr", "Tb", "Tb", "Nd", "Nd"],
  "fractional_positions": [[0.2500, 0.2500, 0.1115], [0.7500, 0.7500, 0.8885], [0.2500, 0.2500, 0.4364], [0.7500, 0.7500, 0.5636], [0.2500, 0.2500, 0.7003], [0.7500, 0.7500, 0.2997]]
}

b | {
  "formula": "SrTbNd",
  "functional": "PBE-GGA",
  "state": "relaxed",
  "total_magnetization_mub_per_cell": 0.00,
  "volume_a3_per_cell": 232.7,
  "lattice_angstrom": [[3.7782, 0.0000, 0.0000], [0.0000, 3.7782, 0.0000], [0.0000, 0.0000, 16.2994]],
  "species": ["Sr", "Sr", "Tb", "Tb", "Nd", "Nd"],
  "fractional_positions": [[0.0000, 0.0000, 0.0000], [0.5000, 0.5000, 0.5000], [0.0000, 0.0000, 0.3222], [0.5000, 0.5000, 0.8222], [0.0000, 0.0000, 0.6814], [0.5000, 0.5000, 0.1814]]
}

Result of the stability comparison: a is the most stable of them.

a | {
  "formula": "SrNd2Tc",
  "functional": "PBE-GGA",
  "state": "relaxed",
  "total_magnetization_mub_per_cell": 0.00,
  "volume_a3_per_cell": 417.3,
  "lattice_angstrom": [[3.8021, 0.0000, 0.0000], [-1.9010, 3.2927, 0.0000], [0.0000, 0.0000, 33.3362]],
  "species": ["Sr", "Sr", "Sr", "Nd", "Nd", "Nd", "Nd", "Nd", "Nd", "Tc", "Tc", "Tc"],
  "fractional_positions": [[0.0000, 0.0000, 0.0000], [0.3333, 0.6667, 0.6667], [0.6667, 0.3333, 0.3333], [0.0000, 0.0000, 0.1104], [0.0000, 0.0000, 0.8896], [0.3333, 0.6667, 0.5563], [0.3333, 0.6667, 0.7771], [0.6667, 0.3333, 0.2229], [0.6667, 0.3333, 0.4437], [0.0000, 0.0000, 0.5000], [0.3333, 0.6667, 0.1667], [0.6667, 0.3333, 0.8333]]
}

b | {
  "formula": "SrNd2Tc",
  "functional": "PBE-GGA",
  "state": "relaxed",
  "total_magnetization_mub_per_cell": 0.00,
  "volume_a3_per_cell": 130.3,
  "lattice_angstrom": [[3.6054, 0.0000, 0.0000], [0.0000, 3.6054, 0.0000], [0.0000, 0.0000, 10.0233]],
  "species": ["Sr", "Nd", "Nd", "Tc"],
  "fractional_positions": [[0.0000, 0.0000, 0.0000], [0.5000, 0.5000, 0.3331], [0.5000, 0.5000, 0.6669], [0.0000, 0.0000, 0.5000]]
}

Result of the stability comparison: b is the most stable of them.

a | {
  "formula": "SrNdTe2",
  "functional": "PBE-GGA",
  "state": "relaxed",
  "total_magnetization_mub_per_cell": 0.00,
  "volume_a3_per_cell": 125.6,
  "lattice_angstrom": [[3.9595, 0.0000, 0.0000], [0.0000, 3.9595, 0.0000], [0.0000, 0.0000, 8.0109]],
  "species": ["Sr", "Nd", "Te", "Te"],
  "fractional_positions": [[0.0000, 0.0000, 0.0000], [0.0000, 0.0000, 0.5000], [0.5000, 0.5000, 0.2634], [0.5000, 0.5000, 0.7366]]
}

b | {
  "formula": "SrNdTe2",
  "functional": "PBE-GGA",
  "state": "relaxed",
  "total_magnetization_mub_per_cell": 0.00,
  "volume_a3_per_cell": 277.8,
  "lattice_angstrom": [[4.5111, 0.0000, 0.0000], [-2.2556, 3.9067, 0.0000], [0.0000, 0.0000, 15.7655]],
  "species": ["Sr", "Sr", "Nd", "Nd", "Te", "Te", "Te", "Te"],
  "fractional_positions": [[0.3333, 0.6667, 0.2500], [0.6667, 0.3333, 0.7500], [0.0000, 0.0000, 0.0000], [0.0000, 0.0000, 0.5000], [0.3333, 0.6667, 0.6186], [0.3333, 0.6667, 0.8814], [0.6667, 0.3333, 0.1186], [0.6667, 0.3333, 0.3814]]
}

c | {
  "formula": "SrNdTe2",
  "functional": "PBE-GGA",
  "state": "relaxed",
  "total_magnetization_mub_per_cell": 0.00,
  "volume_a3_per_cell": 414.5,
  "lattice_angstrom": [[4.5580, 0.0000, 0.0000], [-2.2790, 3.9473, 0.0000], [0.0000, 0.0000, 23.0355]],
  "species": ["Sr", "Sr", "Sr", "Nd", "Nd", "Nd", "Te", "Te", "Te", "Te", "Te", "Te"],
  "fractional_positions": [[0.0000, 0.0000, 0.0000], [0.3333, 0.6667, 0.6667], [0.6667, 0.3333, 0.3333], [0.0000, 0.0000, 0.5000], [0.3333, 0.6667, 0.1667], [0.6667, 0.3333, 0.8333], [0.0000, 0.0000, 0.2470], [0.0000, 0.0000, 0.7530], [0.3333, 0.6667, 0.4196], [0.3333, 0.6667, 0.9137], [0.6667, 0.3333, 0.0863], [0.6667, 0.3333, 0.5804]]
}

d | {
  "formula": "SrNdTe2",
  "functional": "PBE-GGA",
  "state": "relaxed",
  "total_magnetization_mub_per_cell": 0.00,
  "volume_a3_per_cell": 419.6,
  "lattice_angstrom": [[4.4793, 0.0000, 0.0000], [-2.2396, 3.8792, 0.0000], [0.0000, 0.0000, 24.1505]],
  "species": ["Sr", "Sr", "Sr", "Nd", "Nd", "Nd", "Te", "Te", "Te", "Te", "Te", "Te"],
  "fractional_positions": [[0.0000, 0.0000, 0.0000], [0.3333, 0.6667, 0.6667], [0.6667, 0.3333, 0.3333], [0.0000, 0.0000, 0.8276], [0.3333, 0.6667, 0.4943], [0.6667, 0.3333, 0.1610], [0.0000, 0.0000, 0.2420], [0.0000, 0.0000, 0.4172], [0.3333, 0.6667, 0.0839], [0.3333, 0.6667, 0.9087], [0.6667, 0.3333, 0.5754], [0.6667, 0.3333, 0.7506]]
}

Result of the stability comparison: c is the most stable of them.

a | {
  "formula": "SrNdTh",
  "functional": "PBE-GGA",
  "state": "relaxed",
  "total_magnetization_mub_per_cell": 0.00,
  "volume_a3_per_cell": 115.1,
  "lattice_angstrom": [[3.7407, 0.0000, 0.0000], [-1.8703, 3.2395, 0.0000], [0.0000, 0.0000, 9.4964]],
  "species": ["Sr", "Nd", "Th"],
  "fractional_positions": [[0.0000, 0.0000, 0.0000], [0.3333, 0.6667, 0.6352], [0.6667, 0.3333, 0.3397]]
}

b | {
  "formula": "SrNdTh",
  "functional": "PBE-GGA",
  "state": "relaxed",
  "total_magnetization_mub_per_cell": 0.00,
  "volume_a3_per_cell": 232.3,
  "lattice_angstrom": [[1.8524, 1.0695, 19.5426], [-1.8524, 1.0695, 19.5426], [0.0000, -2.1390, 19.5426]],
  "species": ["Sr", "Sr", "Nd", "Nd", "Th", "Th"],
  "fractional_positions": [[0.1968, 0.1968, 0.1968], [0.8032, 0.8032, 0.8032], [0.2589, 0.2589, 0.2589], [0.7411, 0.7411, 0.7411], [0.3582, 0.3582, 0.3582], [0.6418, 0.6418, 0.6418]]
}

c | {
  "formula": "SrNdTh",
  "functional": "PBE-GGA",
  "state": "relaxed",
  "total_magnetization_mub_per_cell": 0.00,
  "volume_a3_per_cell": 233.1,
  "lattice_angstrom": [[3.6685, 0.0000, 0.0000], [0.0000, 3.6685, 0.0000], [0.0000, 0.0000, 17.3205]],
  "species": ["Sr", "Sr", "Nd", "Nd", "Th", "Th"],
  "fractional_positions": [[0.0000, 0.0000, 0.0000], [0.5000, 0.5000, 0.5000], [0.0000, 0.0000, 0.3138], [0.5000, 0.5000, 0.8138], [0.0000, 0.0000, 0.6759], [0.5000, 0.5000, 0.1759]]
}

Result of the stability comparison: c is the most stable of them.